*A*
Entry from Alexandria via LeMat-Bulk: a relaxed NaRe3Mo crystal (PBE-GGA).

Unit cell a=4.784 b=4.784 c=4.784 alpha=90.00 beta=90.00 gamma=90.00
Fractional coordinates of all 5 atoms:
Re: 0.000 0.500 0.000
Re: 0.000 0.000 0.500
Re: 0.500 0.000 0.000
Mo: 0.000 0.000 0.000
Na: 0.500 0.500 0.500

*B*
Entry from Alexandria via LeMat-Bulk: a relaxed NaRe3Mo crystal (PBE-GGA).

Unit cell a=4.389 b=4.389 c=4.389 alpha=90.00 beta=90.00 gamma=90.00
Fractional coordinates of all 5 atoms:
Re: 0.000 0.500 0.000
Re: 0.000 0.000 0.500
Re: 0.500 0.000 0.000
Mo: 0.500 0.500 0.500
Na: 0.000 0.000 0.000

What should be chosen as the least stable of them? Choose *B*.

*A*
Entry from Alexandria via LeMat-Bulk: a relaxed NaReMo3 crystal (PBE-GGA).

Unit cell a=4.819 b=4.819 c=4.819 alpha=90.00 beta=90.00 gamma=90.00
Fractional coordinates of all 5 atoms:
Re: 0.000 0.000 0.000
Mo: 0.000 0.500 0.000
Mo: 0.000 0.000 0.500
Mo: 0.500 0.000 0.000
Na: 0.500 0.500 0.500

*B*
Entry from Alexandria via LeMat-Bulk: a relaxed NaReMo3 crystal (PBE-GGA).

Unit cell a=4.415 b=4.415 c=4.415 alpha=90.00 beta=90.00 gamma=90.00
Fractional coordinates of all 5 atoms:
Re: 0.500 0.500 0.500
Mo: 0.000 0.500 0.000
Mo: 0.000 0.000 0.500
Mo: 0.500 0.000 0.000
Na: 0.000 0.000 0.000

What should be chosen as the least stable of them? Choose *B*.

*A*
Entry from Alexandria via LeMat-Bulk: a relaxed Na2Mo2Rh crystal (PBE-GGA).

Unit cell a=3.435 b=3.435 c=10.204 alpha=80.31 beta=80.31 gamma=90.00
Fractional coordinates of all 5 atoms:
Na: 0.404 0.404 0.193
Na: 0.596 0.596 0.807
Mo: 0.750 0.250 0.500
Mo: 0.250 0.750 0.500
Rh: 0.000 0.000 0.000

*B*
Entry from Alexandria via LeMat-Bulk: a relaxed Na2Mo2Rh crystal (PBE-GGA).

Unit cell a=8.630 b=8.630 c=2.678 alpha=90.00 beta=90.00 gamma=90.00
Fractional coordinates of all 10 atoms:
Na: 0.299 0.799 0.000
Na: 0.799 0.701 0.000
Na: 0.701 0.201 0.000
Na: 0.201 0.299 0.000
Mo: 0.092 0.592 0.500
Mo: 0.592 0.908 0.500
Mo: 0.908 0.408 0.500
Mo: 0.408 0.092 0.500
Rh: 0.000 0.000 0.000
Rh: 0.500 0.500 0.000

What should be chosen as the least stable of them? Choose *B*.

*A*
Entry from Alexandria via LeMat-Bulk: a relaxed NaMoRu2 crystal (PBE-GGA).

Unit cell a=4.397 b=4.397 c=4.397 alpha=60.00 beta=60.00 gamma=60.00
Fractional coordinates of all 4 atoms:
Ru: 0.250 0.250 0.250
Ru: 0.750 0.750 0.750
Mo: 0.500 0.500 0.500
Na: 0.000 0.000 0.000

*B*
Entry from Alexandria via LeMat-Bulk: a relaxed NaMoRu2 crystal (PBE-GGA).

Unit cell a=7.114 b=7.114 c=5.769 alpha=51.93 beta=51.93 gamma=90.00
Fractional coordinates of all 8 atoms:
Ru: 0.672 0.125 0.250
Ru: 0.078 0.625 0.250
Ru: 0.375 0.328 0.750
Ru: 0.875 0.922 0.750
Mo: 0.000 0.000 0.000
Mo: 0.750 0.250 0.500
Na: 0.500 0.500 0.000
Na: 0.250 0.750 0.500

What should be chosen as the least stable of them? Choose *B*.

*A*
Entry from Alexandria via LeMat-Bulk: a relaxed NaMo2Ru crystal (PBE-GGA).

Unit cell a=7.361 b=7.361 c=5.851 alpha=51.02 beta=51.02 gamma=90.00
Fractional coordinates of all 8 atoms:
Ru: 0.000 0.000 0.000
Ru: 0.750 0.250 0.500
Mo: 0.673 0.125 0.250
Mo: 0.077 0.625 0.250
Mo: 0.375 0.327 0.750
Mo: 0.875 0.923 0.750
Na: 0.500 0.500 0.000
Na: 0.250 0.750 0.500

*B*
Entry from Alexandria via LeMat-Bulk: a relaxed NaMo2Ru crystal (PBE-GGA).

Unit cell a=4.460 b=4.460 c=4.460 alpha=60.00 beta=60.00 gamma=60.00
Fractional coordinates of all 4 atoms:
Ru: 0.500 0.500 0.500
Mo: 0.250 0.250 0.250
Mo: 0.750 0.750 0.750
Na: 0.000 0.000 0.000

What should be chosen as the least stable of them? Choose *A*.

*A*
Entry from Alexandria via LeMat-Bulk: a relaxed NaMo3S crystal (PBE-GGA).

Unit cell a=4.595 b=4.595 c=4.595 alpha=90.00 beta=90.00 gamma=90.00
Fractional coordinates of all 5 atoms:
Na: 0.000 0.000 0.000
Mo: 0.000 0.500 0.000
Mo: 0.000 0.000 0.500
Mo: 0.500 0.000 0.000
S: 0.500 0.500 0.500

*B*
Entry from Alexandria via LeMat-Bulk: a relaxed NaMo3S crystal (PBE-GGA).

Unit cell a=4.504 b=4.504 c=4.504 alpha=90.00 beta=90.00 gamma=90.00
Fractional coordinates of all 5 atoms:
Na: 0.500 0.500 0.500
Mo: 0.000 0.500 0.000
Mo: 0.000 0.000 0.500
Mo: 0.500 0.000 0.000
S: 0.000 0.000 0.000

What should be chosen as the least stable of them? Choose *A*.

*A*
Entry from Alexandria via LeMat-Bulk: a relaxed NaMoS3 crystal (PBE-GGA).

Unit cell a=6.178 b=7.371 c=12.241 alpha=97.29 beta=90.00 gamma=90.00
Fractional coordinates of all 20 atoms:
Na: 0.687 0.949 0.731
Na: 0.313 0.051 0.269
Na: 0.187 0.551 0.769
Na: 0.813 0.449 0.231
Mo: 0.205 0.545 0.456
Mo: 0.795 0.455 0.544
Mo: 0.705 0.955 0.044
Mo: 0.295 0.045 0.956
S: 0.985 0.725 0.583
S: 0.015 0.275 0.417
S: 0.485 0.775 0.917
S: 0.515 0.225 0.083
S: 0.479 0.654 0.588
S: 0.521 0.346 0.412
S: 0.979 0.846 0.912
S: 0.021 0.154 0.088
S: 0.184 0.685 0.311
S: 0.816 0.315 0.689
S: 0.684 0.815 0.189
S: 0.316 0.185 0.811

*B*
Entry from Alexandria via LeMat-Bulk: a relaxed NaMoS3 crystal (PBE-GGA).

Unit cell a=4.794 b=4.794 c=4.794 alpha=90.00 beta=90.00 gamma=90.00
Fractional coordinates of all 5 atoms:
Na: 0.000 0.000 0.000
Mo: 0.500 0.500 0.500
S: 0.000 0.500 0.000
S: 0.000 0.000 0.500
S: 0.500 0.000 0.000

*C*
Entry from Alexandria via LeMat-Bulk: a relaxed NaMoS3 crystal (PBE-GGA).

Unit cell a=4.736 b=4.736 c=4.736 alpha=90.00 beta=90.00 gamma=90.00
Fractional coordinates of all 5 atoms:
Na: 0.500 0.500 0.500
Mo: 0.000 0.000 0.000
S: 0.000 0.500 0.000
S: 0.000 0.000 0.500
S: 0.500 0.000 0.000

What should be chosen as the least stable of them? Choose *B*.

*A*
Entry from Alexandria via LeMat-Bulk: a relaxed NaSb2Mo crystal (PBE-GGA).

Unit cell a=4.957 b=4.957 c=4.957 alpha=60.00 beta=60.00 gamma=60.00
Fractional coordinates of all 4 atoms:
Sb: 0.250 0.250 0.250
Sb: 0.750 0.750 0.750
Mo: 0.500 0.500 0.500
Na: 0.000 0.000 0.000

*B*
Entry from Alexandria via LeMat-Bulk: a relaxed NaSb2Mo crystal (PBE-GGA).

Unit cell a=3.355 b=3.355 c=8.116 alpha=90.00 beta=90.00 gamma=90.00
Fractional coordinates of all 4 atoms:
Sb: 0.000 0.000 0.799
Sb: 0.000 0.000 0.201
Mo: 0.500 0.500 0.000
Na: 0.500 0.500 0.500

What should be chosen as the least stable of them? Choose *A*.